No. 1
! PBE Y2Tm7Mg2, optimized geometry; values from VASP
! density = 7.03 g/cm³
! total DFT energy (no corrections) = -45.81 eV/f.u.
&SYSTEM
  ibrav = 0, nat = 11, ntyp = 3
/
ATOMIC_SPECIES
Y 88.91 Y.upf
Tm 168.93 Tm.upf
Mg 24.30 Mg.upf
CELL_PARAMETERS angstrom
4.642 -4.640 0.000
4.642 4.640 0.000
-2.001 0.000 7.720
ATOMIC_POSITIONS angstrom
Y 4.642 2.963 0.000
Y 4.642 -2.963 0.000
Tm -1.000 0.000 3.860
Tm 2.258 1.892 2.492
Tm 0.911 0.000 7.491
Tm 5.025 1.892 5.229
Tm 2.258 -1.892 2.492
Tm 6.372 0.000 0.230
Tm 5.025 -1.892 5.229
Mg 2.473 0.000 5.003
Mg 4.811 0.000 2.717

***

No. 2
! PBE YTm7Mg4, optimized geometry; values from VASP
! density = 6.45 g/cm³
! total DFT energy (no corrections) = -41.10 eV/f.u.
&SYSTEM
  ibrav = 0, nat = 12, ntyp = 3
/
ATOMIC_SPECIES
Y 88.91 Y.upf
Tm 168.93 Tm.upf
Mg 24.30 Mg.upf
CELL_PARAMETERS angstrom
6.803 -2.809 0.000
6.803 2.809 0.000
-6.151 0.000 9.225
ATOMIC_POSITIONS angstrom
Y 0.000 0.000 0.000
Tm -1.593 0.000 3.538
Tm -2.414 0.000 8.132
Tm 2.044 0.000 3.532
Tm 6.803 0.000 0.000
Tm 5.412 0.000 5.694
Tm 9.870 0.000 1.094
Tm 9.049 0.000 5.687
Mg 0.178 0.000 6.120
Mg 4.602 0.000 2.016
Mg 2.854 0.000 7.210
Mg 7.279 0.000 3.105

***

No. 3
! PBE Y7TmMg4, optimized geometry; values from VASP
! density = 4.12 g/cm³
! total DFT energy (no corrections) = -54.26 eV/f.u.
&SYSTEM
  ibrav = 0, nat = 12, ntyp = 3
/
ATOMIC_SPECIES
Y 88.91 Y.upf
Tm 168.93 Tm.upf
Mg 24.30 Mg.upf
CELL_PARAMETERS angstrom
7.528 -2.876 0.000
7.528 2.876 0.000
-5.136 0.000 8.268
ATOMIC_POSITIONS angstrom
Y 0.000 0.000 0.000
Y 0.096 0.000 5.851
Y 3.845 0.000 0.994
Y 3.383 0.000 4.787
Y 6.537 0.000 3.481
Y 6.075 0.000 7.274
Y 9.824 0.000 2.417
Tm 7.528 0.000 0.000
Mg -2.960 0.000 5.777
Mg 0.873 0.000 2.847
Mg 9.047 0.000 5.421
Mg 12.880 0.000 2.491

***

No. 4
! PBE YTm5Mg3, optimized geometry; values from VASP
! density = 5.68 g/cm³
! total DFT energy (no corrections) = -30.22 eV/f.u.
&SYSTEM
  ibrav = 0, nat = 18, ntyp = 3
/
ATOMIC_SPECIES
Y 88.91 Y.upf
Tm 168.93 Tm.upf
Mg 24.30 Mg.upf
CELL_PARAMETERS angstrom
5.657 -4.520 0.000
5.657 4.520 0.000
-3.008 0.000 11.513
ATOMIC_POSITIONS angstrom
Y 0.516 0.000 3.064
Y 7.790 0.000 8.450
Tm 3.036 2.862 2.319
Tm 2.918 0.000 0.776
Tm 5.657 1.735 0.000
Tm 5.270 2.862 9.194
Tm 3.561 0.000 4.226
Tm 4.745 0.000 7.287
Tm 3.036 -2.862 2.319
Tm 5.657 -1.735 0.000
Tm 5.388 0.000 10.737
Tm 5.270 -2.862 9.194
Mg 0.000 0.000 0.000
Mg -1.504 0.000 5.757
Mg 1.287 0.000 6.457
Mg 2.391 0.000 9.073
Mg 5.915 0.000 2.441
Mg 7.019 0.000 5.056

***

No. 5
! PBE Y3TmMg12, optimized geometry; values from VASP
! density = 2.98 g/cm³
! total DFT energy (no corrections) = -44.16 eV/f.u.
&SYSTEM
  ibrav = 0, nat = 16, ntyp = 3
/
ATOMIC_SPECIES
Y 88.91 Y.upf
Tm 168.93 Tm.upf
Mg 24.30 Mg.upf
CELL_PARAMETERS angstrom
4.621 0.000 0.000
0.000 4.621 0.000
0.000 0.000 18.951
ATOMIC_POSITIONS angstrom
Y 0.000 0.000 0.000
Y 0.000 0.000 4.753
Y 0.000 0.000 14.199
Tm 0.000 0.000 9.476
Mg 0.000 2.311 2.376
Mg 0.000 2.311 7.127
Mg 0.000 2.311 11.825
Mg 0.000 2.311 16.575
Mg 2.311 0.000 2.376
Mg 2.311 0.000 7.127
Mg 2.311 0.000 11.825
Mg 2.311 0.000 16.575
Mg 2.311 2.311 0.000
Mg 2.311 2.311 4.762
Mg 2.311 2.311 9.476
Mg 2.311 2.311 14.189

***

No. 6
! PBE Y6TmMg5, optimized geometry; values from VASP
! density = 4.04 g/cm³
! total DFT energy (no corrections) = -51.85 eV/f.u.
&SYSTEM
  ibrav = 0, nat = 12, ntyp = 3
/
ATOMIC_SPECIES
Y 88.91 Y.upf
Tm 168.93 Tm.upf
Mg 24.30 Mg.upf
CELL_PARAMETERS angstrom
5.389 0.000 0.000
0.000 7.707 0.000
-2.710 0.000 8.145
ATOMIC_POSITIONS angstrom
Y 0.000 1.854 0.000
Y 0.000 5.852 0.000
Y 0.000 1.904 5.382
Y 0.000 5.803 5.382
Y 2.679 1.904 2.763
Y 2.679 5.803 2.763
Tm 2.695 3.853 0.000
Mg -0.015 3.853 2.640
Mg -0.021 0.000 2.720
Mg 2.695 0.000 0.000
Mg 2.700 0.000 5.425
Mg 2.694 3.853 5.505

***

No. 7
! PBE Y5TmMg, optimized geometry; values from VASP
! energy above the most stable polymorph in this dataset = 0.728 eV/atom
! density = 3.56 g/cm³
! total DFT energy (no corrections) = -31.94 eV/f.u.
&SYSTEM
  ibrav = 0, nat = 14, ntyp = 3
/
ATOMIC_SPECIES
Y 88.91 Y.upf
Tm 168.93 Tm.upf
Mg 24.30 Mg.upf
CELL_PARAMETERS angstrom
12.118 0.000 0.000
0.000 8.721 0.000
-2.033 0.000 5.637
ATOMIC_POSITIONS angstrom
Y 0.000 0.000 0.000
Y -1.016 2.802 2.819
Y -1.016 5.919 2.819
Y 1.970 0.000 2.895
Y 2.056 4.360 2.742
Y 5.042 1.559 2.819
Y 6.059 4.360 0.000
Y 5.042 7.162 2.819
Y 8.029 4.360 2.895
Y 8.115 0.000 2.742
Tm 0.000 4.360 0.000
Tm 6.059 0.000 0.000
Mg -1.016 0.000 2.819
Mg 5.042 4.360 2.819

***

No. 8
! PBE Y3Tm2Mg, optimized geometry; values from VASP
! energy above the most stable polymorph in this dataset = 0.000 eV/atom
! density = 5.78 g/cm³
! total DFT energy (no corrections) = -30.00 eV/f.u.
&SYSTEM
  ibrav = 0, nat = 6, ntyp = 3
/
ATOMIC_SPECIES
Y 88.91 Y.upf
Tm 168.93 Tm.upf
Mg 24.30 Mg.upf
CELL_PARAMETERS angstrom
3.559 0.000 0.000
0.000 3.559 0.000
0.000 0.000 14.270
ATOMIC_POSITIONS angstrom
Y 0.000 0.000 0.000
Y 0.000 0.000 4.930
Y 0.000 0.000 9.340
Tm 1.779 1.779 2.481
Tm 1.779 1.779 11.789
Mg 1.779 1.779 7.135

***

No. 9
! PBE YTm4Mg2, optimized geometry; values from VASP
! density = 6.73 g/cm³
! total DFT energy (no corrections) = -27.03 eV/f.u.
&SYSTEM
  ibrav = 0, nat = 7, ntyp = 3
/
ATOMIC_SPECIES
Y 88.91 Y.upf
Tm 168.93 Tm.upf
Mg 24.30 Mg.upf
CELL_PARAMETERS angstrom
2.696 1.557 7.965
-2.696 1.557 7.965
0.000 -3.113 7.965
ATOMIC_POSITIONS angstrom
Y 0.000 0.000 0.000
Tm 0.000 0.000 6.949
Tm 0.000 0.000 10.289
Tm 0.000 0.000 13.607
Tm 0.000 0.000 16.948
Mg 0.000 0.000 3.536
Mg 0.000 0.000 20.360

***

No. 10
! PBE Y2TmMg4, optimized geometry; values from VASP
! energy above the most stable polymorph in this dataset = 0.462 eV/atom
! density = 3.01 g/cm³
! total DFT energy (no corrections) = -19.62 eV/f.u.
&SYSTEM
  ibrav = 0, nat = 14, ntyp = 3
/
ATOMIC_SPECIES
Y 88.91 Y.upf
Tm 168.93 Tm.upf
Mg 24.30 Mg.upf
CELL_PARAMETERS angstrom
5.519 0.000 0.000
0.000 5.519 0.000
0.000 0.000 16.058
ATOMIC_POSITIONS angstrom
Y 0.000 0.000 1.678
Y 0.000 0.000 14.380
Y 2.759 2.759 6.351
Y 2.759 2.759 9.707
Tm 0.000 0.000 8.029
Tm 2.759 2.759 0.000
Mg 0.000 0.000 5.009
Mg 0.000 0.000 11.048
Mg 0.000 2.759 0.000
Mg 0.000 2.759 8.029
Mg 2.759 0.000 0.000
Mg 2.759 0.000 8.029
Mg 2.759 2.759 3.019
Mg 2.759 2.759 13.038

***

No. 11
! PBE YTm3Mg4, optimized geometry; values from VASP
! density = 5.39 g/cm³
! total DFT energy (no corrections) = -26.84 eV/f.u.
&SYSTEM
  ibrav = 0, nat = 16, ntyp = 3
/
ATOMIC_SPECIES
Y 88.91 Y.upf
Tm 168.93 Tm.upf
Mg 24.30 Mg.upf
CELL_PARAMETERS angstrom
10.675 0.000 0.000
0.000 7.501 0.000
0.000 0.000 5.337
ATOMIC_POSITIONS angstrom
Y 0.000 0.000 0.000
Y 5.337 0.000 0.000
Tm 0.000 3.750 0.000
Tm 2.669 0.000 2.661
Tm 2.669 3.750 2.661
Tm 5.337 3.750 0.000
Tm 8.006 0.000 2.676
Tm 8.006 3.750 2.676
Mg 0.000 1.887 2.669
Mg 0.000 5.614 2.669
Mg 2.669 1.887 5.328
Mg 2.669 5.614 5.328
Mg 5.337 1.887 2.669
Mg 5.337 5.614 2.669
Mg 8.006 1.887 0.009
Mg 8.006 5.614 0.009

***

No. 12
! PBE YTm8Mg6, optimized geometry; values from VASP
! density = 5.86 g/cm³
! total DFT energy (no corrections) = -48.56 eV/f.u.
&SYSTEM
  ibrav = 0, nat = 15, ntyp = 3
/
ATOMIC_SPECIES
Y 88.91 Y.upf
Tm 168.93 Tm.upf
Mg 24.30 Mg.upf
CELL_PARAMETERS angstrom
4.512 2.605 6.377
-4.512 2.605 6.377
0.000 -5.210 6.377
ATOMIC_POSITIONS angstrom
Y 0.000 0.000 0.000
Tm -2.999 -0.017 8.613
Tm -1.485 -2.606 10.519
Tm 0.000 0.000 6.493
Tm 1.514 -2.589 8.613
Tm -1.514 2.589 10.519
Tm 0.000 0.000 12.639
Tm 1.485 2.606 8.613
Tm 2.999 0.017 10.519
Mg -1.527 -2.610 7.302
Mg -3.024 0.018 11.829
Mg -1.497 2.628 7.302
Mg 1.497 -2.628 11.829
Mg 3.024 -0.018 7.302
Mg 1.527 2.610 11.829

***

No. 13
! PBE YTm3Mg3, optimized geometry; values from VASP
! density = 5.73 g/cm³
! total DFT energy (no corrections) = -24.65 eV/f.u.
&SYSTEM
  ibrav = 0, nat = 14, ntyp = 3
/
ATOMIC_SPECIES
Y 88.91 Y.upf
Tm 168.93 Tm.upf
Mg 24.30 Mg.upf
CELL_PARAMETERS angstrom
9.056 0.000 0.000
0.000 5.454 0.000
-4.527 0.000 7.849
ATOMIC_POSITIONS angstrom
Y 0.005 1.364 2.616
Y 4.525 4.091 5.233
Tm -1.267 4.091 6.293
Tm 2.550 1.364 0.317
Tm 0.716 1.364 5.973
Tm 3.814 4.091 1.876
Tm 1.979 4.091 7.532
Tm 5.797 1.364 1.556
Mg -2.585 1.364 4.831
Mg 0.625 4.091 0.732
Mg 1.318 4.091 4.102
Mg 3.212 1.364 3.747
Mg 3.905 1.364 7.118
Mg 7.114 4.091 3.018

***

No. 14
! PBE Y2TmMg2, optimized geometry; values from VASP
! energy above the most stable polymorph in this dataset = 0.000 eV/atom
! density = 4.68 g/cm³
! total DFT energy (no corrections) = -20.95 eV/f.u.
&SYSTEM
  ibrav = 0, nat = 10, ntyp = 3
/
ATOMIC_SPECIES
Y 88.91 Y.upf
Tm 168.93 Tm.upf
Mg 24.30 Mg.upf
CELL_PARAMETERS angstrom
1.871 -13.870 0.000
1.871 13.870 0.000
0.000 0.000 5.410
ATOMIC_POSITIONS angstrom
Y 1.871 12.622 4.058
Y 1.871 7.297 4.058
Y 1.871 -7.297 1.353
Y 1.871 -12.622 1.353
Tm 1.871 9.669 1.353
Tm 1.871 -9.669 4.058
Mg 1.871 3.898 1.353
Mg 1.871 1.495 4.058
Mg 1.871 -1.495 1.353
Mg 1.871 -3.898 4.058

***

No. 15
! PBE YTmMg6, optimized geometry; values from VASP
! density = 3.34 g/cm³
! total DFT energy (no corrections) = -21.07 eV/f.u.
&SYSTEM
  ibrav = 0, nat = 16, ntyp = 3
/
ATOMIC_SPECIES
Y 88.91 Y.upf
Tm 168.93 Tm.upf
Mg 24.30 Mg.upf
CELL_PARAMETERS angstrom
5.070 0.000 0.000
0.000 7.275 0.000
0.000 0.000 10.868
ATOMIC_POSITIONS angstrom
Y 0.000 0.000 0.000
Y 0.000 3.638 5.434
Tm 2.535 0.000 2.833
Tm 2.535 3.638 8.267
Mg 0.000 0.000 5.010
Mg 0.000 1.582 7.939
Mg 0.000 2.056 2.505
Mg 0.000 3.638 10.444
Mg 0.000 5.220 2.505
Mg 0.000 5.694 7.939
Mg 2.535 0.000 8.676
Mg 2.535 1.574 5.760
Mg 2.535 2.064 0.326
Mg 2.535 3.638 3.242
Mg 2.535 5.211 0.326
Mg 2.535 5.702 5.760

***

No. 16
! PBE Y3Tm6Mg, optimized geometry; values from VASP
! energy above the most stable polymorph in this dataset = 0.000 eV/atom
! density = 7.17 g/cm³
! total DFT energy (no corrections) = -47.53 eV/f.u.
&SYSTEM
  ibrav = 0, nat = 20, ntyp = 3
/
ATOMIC_SPECIES
Y 88.91 Y.upf
Tm 168.93 Tm.upf
Mg 24.30 Mg.upf
CELL_PARAMETERS angstrom
10.999 0.000 0.000
0.000 4.964 0.000
-0.081 0.000 11.075
ATOMIC_POSITIONS angstrom
Y 0.531 1.241 4.437
Y 1.659 3.723 2.254
Y 2.770 1.241 0.033
Y 8.148 3.723 11.042
Y 9.259 1.241 8.821
Y 10.386 3.723 6.638
Tm 0.499 3.723 9.944
Tm 1.639 1.241 7.756
Tm 2.780 3.723 5.565
Tm 3.785 3.723 8.891
Tm 3.876 1.241 3.387
Tm 4.964 3.723 1.112
Tm 5.953 1.241 9.963
Tm 7.042 3.723 7.688
Tm 7.132 1.241 2.184
Tm 8.138 1.241 5.510
Tm 9.279 3.723 3.319
Tm 10.418 1.241 1.131
Mg 4.910 1.241 6.648
Mg 6.008 3.723 4.427

***

No. 17
! PBE Y2Tm3Mg3, optimized geometry; values from VASP
! density = 5.62 g/cm³
! total DFT energy (no corrections) = -31.49 eV/f.u.
&SYSTEM
  ibrav = 0, nat = 16, ntyp = 3
/
ATOMIC_SPECIES
Y 88.91 Y.upf
Tm 168.93 Tm.upf
Mg 24.30 Mg.upf
CELL_PARAMETERS angstrom
3.742 0.000 0.000
0.000 5.381 0.000
0.000 0.000 22.223
ATOMIC_POSITIONS angstrom
Y 0.000 0.000 5.203
Y 0.000 0.000 17.020
Y 1.871 2.691 5.908
Y 1.871 2.691 16.315
Tm 0.000 0.000 0.000
Tm 0.000 2.691 2.776
Tm 0.000 2.691 19.447
Tm 1.871 0.000 8.335
Tm 1.871 0.000 13.888
Tm 1.871 2.691 11.112
Mg 0.000 0.000 11.112
Mg 0.000 2.691 8.543
Mg 0.000 2.691 13.680
Mg 1.871 0.000 2.569
Mg 1.871 0.000 19.655
Mg 1.871 2.691 0.000

***

No. 18
! PBE Y4TmMg, optimized geometry; values from VASP
! energy above the most stable polymorph in this dataset = 0.072 eV/atom
! density = 4.93 g/cm³
! total DFT energy (no corrections) = -31.58 eV/f.u.
&SYSTEM
  ibrav = 0, nat = 12, ntyp = 3
/
ATOMIC_SPECIES
Y 88.91 Y.upf
Tm 168.93 Tm.upf
Mg 24.30 Mg.upf
CELL_PARAMETERS angstrom
5.177 -6.531 0.000
5.177 6.531 0.000
-3.527 0.000 5.464
ATOMIC_POSITIONS angstrom
Y 2.503 4.013 1.445
Y 0.849 0.921 1.281
Y -0.915 -0.921 4.013
Y 6.087 4.013 1.287
Y 0.739 -4.013 4.177
Y 7.742 0.921 1.451
Y 5.978 -0.921 4.183
Y 4.324 -4.013 4.019
Tm 2.531 2.074 4.098
Tm 4.295 -2.074 1.366
Mg 4.295 1.183 1.366
Mg 2.531 -1.183 4.098

***

No. 19
! PBE YTm4Mg5, optimized geometry; values from VASP
! density = 5.52 g/cm³
! total DFT energy (no corrections) = -33.01 eV/f.u.
&SYSTEM
  ibrav = 0, nat = 10, ntyp = 3
/
ATOMIC_SPECIES
Y 88.91 Y.upf
Tm 168.93 Tm.upf
Mg 24.30 Mg.upf
CELL_PARAMETERS angstrom
3.766 0.000 0.000
0.000 3.766 0.000
0.000 0.000 18.788
ATOMIC_POSITIONS angstrom
Y 0.000 0.000 0.000
Tm 0.000 0.000 3.797
Tm 0.000 0.000 7.528
Tm 0.000 0.000 11.259
Tm 0.000 0.000 14.991
Mg 1.883 1.883 1.928
Mg 1.883 1.883 5.660
Mg 1.883 1.883 9.394
Mg 1.883 1.883 13.128
Mg 1.883 1.883 16.860

***

No. 20
! PBE Y2Tm8Mg, optimized geometry; values from VASP
! density = 7.65 g/cm³
! total DFT energy (no corrections) = -48.55 eV/f.u.
&SYSTEM
  ibrav = 0, nat = 11, ntyp = 3
/
ATOMIC_SPECIES
Y 88.91 Y.upf
Tm 168.93 Tm.upf
Mg 24.30 Mg.upf
CELL_PARAMETERS angstrom
8.041 -3.249 0.000
8.041 3.249 0.000
-1.308 0.000 6.452
ATOMIC_POSITIONS angstrom
Y 2.603 0.000 1.946
Y 12.172 0.000 4.505
Tm 6.588 1.569 0.737
Tm 2.895 0.000 5.314
Tm 8.187 1.569 5.715
Tm 5.768 0.000 3.786
Tm 9.006 0.000 2.666
Tm 6.588 -1.569 0.737
Tm 11.880 0.000 1.137
Tm 8.187 -1.569 5.715
Mg -0.654 0.000 3.226